Crystalline SmYCuPb at its relaxed geometry. Source: Alexandria via LeMat-Bulk, functional GGA-PBE.

VASP energy   -20.25 eV/f.u.
ρ   8.24 g cm⁻³

```
data_SmYCuPb
_chemical_formula_sum 'Sm4 Y4 Cu4 Pb4'
_cell_length_a 7.436
_cell_length_b 7.436
_cell_length_c 7.436
_cell_angle_alpha 90.00
_cell_angle_beta 90.00
_cell_angle_gamma 90.00
_space_group_name_H-M_alt 'F -4 3 m'
_space_group_IT_number 216
_space_group_name_Hall 'F -4 2 3'
loop_
_atom_site_label
_atom_site_type_symbol
_atom_site_fract_x
_atom_site_fract_y
_atom_site_fract_z
Sm1 Sm 0.000 0.000 0.000
Y1 Y 0.000 0.000 0.500
Cu1 Cu 0.250 0.250 0.250
Pb1 Pb 0.250 0.250 0.750
```

Crystalline SmZnCuPb at its relaxed geometry. Source: Alexandria via LeMat-Bulk, functional GGA-PBE.

VASP energy   -14.50 eV/f.u.
ρ   9.34 g cm⁻³

```
data_SmZnCuPb
_chemical_formula_sum 'Sm4 Zn4 Cu4 Pb4'
_cell_length_a 7.020
_cell_length_b 7.020
_cell_length_c 7.020
_cell_angle_alpha 90.00
_cell_angle_beta 90.00
_cell_angle_gamma 90.00
_space_group_name_H-M_alt 'F -4 3 m'
_space_group_IT_number 216
_space_group_name_Hall 'F -4 2 3'
loop_
_atom_site_label
_atom_site_type_symbol
_atom_site_fract_x
_atom_site_fract_y
_atom_site_fract_z
Sm1 Sm 0.000 0.000 0.000
Zn1 Zn 0.250 0.250 0.250
Cu1 Cu 0.250 0.250 0.750
Pb1 Pb 0.000 0.000 0.500
```

Computed values of energy relative to the elements (unit: eV/atom) for the preceding records, in sequence: -0.315, -0.175.